VASP calculation (GGA-PBE) on a geometry-optimized SnSeBr2N structure.

Structure (POSCAR):
```
SnSeBr2N
1.0
4.620 0.000 0.000
0.000 4.620 0.000
0.000 0.000 4.983
Se Br N Sn
1 2 1 1
direct
0.000 0.000 0.500
0.000 0.500 0.000
0.500 0.000 0.000
0.000 0.000 0.000
0.500 0.500 0.500
```

Summary:
DFT total energy (eV per atom): -3.181
Formation energy (no corrections) (eV per atom): 0.651
Energy above the most stable polymorph in this dataset (meV/atom): 0
Symmetry: P4/mmm